# 1
Below is a relaxed PuScU2S4 crystal, with properties calculated at the PBE-GGA level.

CIF file:
```
data_PuScU2S4
_cell_length_a 3.781
_cell_length_b 6.544
_cell_length_c 6.841
_cell_angle_alpha 108.51
_cell_angle_beta 90.00
_cell_angle_gamma 90.00
_space_group_name_H-M_alt 'P 1'
_space_group_IT_number 1
loop_
_space_group_symop_operation_xyz
'x,y,z'
loop_
_atom_site_label
_atom_site_type_symbol
_atom_site_fract_x
_atom_site_fract_y
_atom_site_fract_z
Pu1 Pu 0.500 0.500 0.000
Sc1 Sc 0.000 0.000 0.000
U1 U 0.500 0.000 0.500
U2 U 0.000 0.500 0.500
S1 S 0.500 0.239 0.238
S2 S 0.500 0.761 0.762
S3 S 0.000 0.245 0.756
S4 S 0.000 0.755 0.244
```

Calculated values
calculated volume = 160.5 Å³/f.u.
ΔE_f (raw) = -1.577 eV/atom



# 2
Below is a relaxed Sr2Cu2Rh crystal, with properties calculated at the PBE-GGA level.

CIF file:
```
data_Sr2Cu2Rh
_cell_length_a 3.545
_cell_length_b 3.545
_cell_length_c 9.445
_cell_angle_alpha 79.18
_cell_angle_beta 79.18
_cell_angle_gamma 90.00
_space_group_name_H-M_alt 'P 1'
_space_group_IT_number 1
loop_
_space_group_symop_operation_xyz
'x,y,z'
loop_
_atom_site_label
_atom_site_type_symbol
_atom_site_fract_x
_atom_site_fract_y
_atom_site_fract_z
Sr1 Sr 0.399 0.399 0.202
Sr2 Sr 0.601 0.601 0.798
Rh1 Rh 0.000 0.000 0.000
Cu1 Cu 0.750 0.250 0.500
Cu2 Cu 0.250 0.750 0.500
```

Calculated values
calculated volume = 114.4 Å³/f.u.
excess energy over the best structure of this formula in the dataset = 0.172 eV/atom
energy of formation = 0.010 eV/atom



# 3
Below is a relaxed MgMoPb2 crystal, with properties calculated at the PBE-GGA level.

CIF file:
```
data_MgMoPb2
_cell_length_a 3.215
_cell_length_b 4.755
_cell_length_c 5.918
_cell_angle_alpha 90.00
_cell_angle_beta 90.00
_cell_angle_gamma 90.00
_space_group_name_H-M_alt 'P 1'
_space_group_IT_number 1
loop_
_space_group_symop_operation_xyz
'x,y,z'
loop_
_atom_site_label
_atom_site_type_symbol
_atom_site_fract_x
_atom_site_fract_y
_atom_site_fract_z
Mg1 Mg 0.000 0.000 0.503
Mo1 Mo 0.500 0.500 0.756
Pb1 Pb 0.000 0.000 0.970
Pb2 Pb 0.500 0.500 0.272
```

Calculated values
calculated volume = 90.5 Å³/f.u.
energy of formation = 0.532 eV/atom



# 4
Below is a relaxed Na2HgAsP crystal, with properties calculated at the PBE-GGA level.

CIF file:
```
data_Na2HgAsP
_cell_length_a 5.606
_cell_length_b 5.105
_cell_length_c 5.606
_cell_angle_alpha 90.00
_cell_angle_beta 90.00
_cell_angle_gamma 90.00
_space_group_name_H-M_alt 'P 1'
_space_group_IT_number 1
loop_
_space_group_symop_operation_xyz
'x,y,z'
loop_
_atom_site_label
_atom_site_type_symbol
_atom_site_fract_x
_atom_site_fract_y
_atom_site_fract_z
P1 P 0.500 0.500 0.500
As1 As 0.000 0.000 0.000
Hg1 Hg 0.000 0.500 0.000
Na1 Na 0.000 0.000 0.500
Na2 Na 0.500 0.000 0.000
```

Calculated values
calculated volume = 160.4 Å³/f.u.
energy of formation = 0.326 eV/atom



# 5
Below is a relaxed SrSn2Te crystal, with properties calculated at the PBE-GGA level.

CIF file:
```
data_SrSn2Te
_cell_length_a 9.241
_cell_length_b 9.241
_cell_length_c 7.270
_cell_angle_alpha 50.54
_cell_angle_beta 50.54
_cell_angle_gamma 90.00
_space_group_name_H-M_alt 'P 1'
_space_group_IT_number 1
loop_
_space_group_symop_operation_xyz
'x,y,z'
loop_
_atom_site_label
_atom_site_type_symbol
_atom_site_fract_x
_atom_site_fract_y
_atom_site_fract_z
Sr1 Sr 0.500 0.500 0.000
Sr2 Sr 0.250 0.750 0.500
Te1 Te 0.000 0.000 0.000
Te2 Te 0.750 0.250 0.500
Sn1 Sn 0.654 0.125 0.250
Sn2 Sn 0.096 0.625 0.250
Sn3 Sn 0.375 0.346 0.750
Sn4 Sn 0.875 0.904 0.750
```

Calculated values
calculated volume = 136.1 Å³/f.u.
ΔE_f (raw) = -0.338 eV/atom



# 6
Below is a relaxed LiAl2Cd crystal, with properties calculated at the PBE-GGA level.

CIF file:
```
data_LiAl2Cd
_cell_length_a 3.277
_cell_length_b 3.277
_cell_length_c 6.687
_cell_angle_alpha 90.00
_cell_angle_beta 90.00
_cell_angle_gamma 90.00
_space_group_name_H-M_alt 'P 1'
_space_group_IT_number 1
loop_
_space_group_symop_operation_xyz
'x,y,z'
loop_
_atom_site_label
_atom_site_type_symbol
_atom_site_fract_x
_atom_site_fract_y
_atom_site_fract_z
Li1 Li 0.500 0.500 0.759
Al1 Al 0.000 0.000 0.997
Al2 Al 0.500 0.500 0.233
Cd1 Cd 0.000 0.000 0.511
```

Calculated values
calculated volume = 71.8 Å³/f.u.
energy of formation = -0.024 eV/atom



# 7
Below is a relaxed Sm5Mg4Tl crystal, with properties calculated at the PBE-GGA level.

CIF file:
```
data_Sm5Mg4Tl
_cell_length_a 3.846
_cell_length_b 3.846
_cell_length_c 19.327
_cell_angle_alpha 90.00
_cell_angle_beta 90.00
_cell_angle_gamma 90.00
_space_group_name_H-M_alt 'P 1'
_space_group_IT_number 1
loop_
_space_group_symop_operation_xyz
'x,y,z'
loop_
_atom_site_label
_atom_site_type_symbol
_atom_site_fract_x
_atom_site_fract_y
_atom_site_fract_z
Sm1 Sm 0.500 0.500 0.102
Sm2 Sm 0.500 0.500 0.300
Sm3 Sm 0.500 0.500 0.500
Sm4 Sm 0.500 0.500 0.700
Sm5 Sm 0.500 0.500 0.898
Mg1 Mg 0.000 0.000 0.203
Mg2 Mg 0.000 0.000 0.400
Mg3 Mg 0.000 0.000 0.600
Mg4 Mg 0.000 0.000 0.797
Tl1 Tl 0.000 0.000 0.000
```

Calculated values
calculated volume = 285.8 Å³/f.u.
energy of formation = -0.155 eV/atom



# 8
Below is a relaxed NbFe2Rh5 crystal, with properties calculated at the PBE-GGA level.

CIF file:
```
data_NbFe2Rh5
_cell_length_a 3.901
_cell_length_b 5.429
_cell_length_c 10.786
_cell_angle_alpha 90.00
_cell_angle_beta 90.00
_cell_angle_gamma 90.00
_space_group_name_H-M_alt 'P 1'
_space_group_IT_number 1
loop_
_space_group_symop_operation_xyz
'x,y,z'
loop_
_atom_site_label
_atom_site_type_symbol
_atom_site_fract_x
_atom_site_fract_y
_atom_site_fract_z
Nb1 Nb 0.000 0.000 0.500
Nb2 Nb 0.000 0.500 0.000
Fe1 Fe 0.500 0.277 0.367
Fe2 Fe 0.500 0.723 0.633
Fe3 Fe 0.500 0.223 0.867
Fe4 Fe 0.500 0.777 0.133
Rh1 Rh 0.500 0.265 0.121
Rh2 Rh 0.500 0.735 0.879
Rh3 Rh 0.500 0.765 0.379
Rh4 Rh 0.500 0.235 0.621
Rh5 Rh 0.000 0.980 0.747
Rh6 Rh 0.000 0.020 0.253
Rh7 Rh 0.000 0.480 0.753
Rh8 Rh 0.000 0.520 0.247
Rh9 Rh 0.000 0.500 0.500
Rh10 Rh 0.000 0.000 0.000
```

Calculated values
calculated volume = 114.2 Å³/f.u.
energy of formation = -0.167 eV/atom



# 9
Below is a relaxed Ba2AlGaAg6 crystal, with properties calculated at the PBE-GGA level.

CIF file:
```
data_Ba2AlGaAg6
_cell_length_a 7.209
_cell_length_b 7.210
_cell_length_c 7.302
_cell_angle_alpha 59.59
_cell_angle_beta 59.59
_cell_angle_gamma 90.01
_space_group_name_H-M_alt 'P 1'
_space_group_IT_number 1
loop_
_space_group_symop_operation_xyz
'x,y,z'
loop_
_atom_site_label
_atom_site_type_symbol
_atom_site_fract_x
_atom_site_fract_y
_atom_site_fract_z
Ba1 Ba 0.750 0.250 0.500
Ba2 Ba 0.250 0.750 0.500
Al1 Al 0.000 0.000 0.000
Ga1 Ga 0.500 0.500 0.000
Ag1 Ag 0.249 0.249 0.501
Ag2 Ag 0.751 0.751 0.000
Ag3 Ag 0.250 0.751 0.000
Ag4 Ag 0.750 0.249 0.000
Ag5 Ag 0.249 0.249 0.000
Ag6 Ag 0.751 0.751 0.499
```

Calculated values
calculated volume = 265.0 Å³/f.u.
energy of formation = -0.129 eV/atom



# 10
Below is a relaxed Ti2AlW crystal, with properties calculated at the PBE-GGA level.

CIF file:
```
data_Ti2AlW
_cell_length_a 5.929
_cell_length_b 5.929
_cell_length_c 5.929
_cell_angle_alpha 54.38
_cell_angle_beta 153.22
_cell_angle_gamma 133.61
_space_group_name_H-M_alt 'P 1'
_space_group_IT_number 1
loop_
_space_group_symop_operation_xyz
'x,y,z'
loop_
_atom_site_label
_atom_site_type_symbol
_atom_site_fract_x
_atom_site_fract_y
_atom_site_fract_z
Al1 Al 0.000 0.000 0.000
W1 W 0.000 0.500 0.500
Ti1 Ti 0.000 0.245 0.245
Ti2 Ti 0.000 0.755 0.755
```

Calculated values
calculated volume = 67.6 Å³/f.u.
energy of formation = 0.367 eV/atom



# 11
Below is a relaxed ZrOsO2 crystal, with properties calculated at the PBE-GGA level.

CIF file:
```
data_ZrOsO2
_cell_length_a 4.058
_cell_length_b 4.058
_cell_length_c 4.058
_cell_angle_alpha 60.00
_cell_angle_beta 60.00
_cell_angle_gamma 60.00
_space_group_name_H-M_alt 'P 1'
_space_group_IT_number 1
loop_
_space_group_symop_operation_xyz
'x,y,z'
loop_
_atom_site_label
_atom_site_type_symbol
_atom_site_fract_x
_atom_site_fract_y
_atom_site_fract_z
Os1 Os 0.500 0.500 0.500
O1 O 0.250 0.250 0.250
O2 O 0.750 0.750 0.750
Zr1 Zr 0.000 0.000 0.000
```

Calculated values
calculated volume = 47.2 Å³/f.u.
excess energy over the best structure of this formula in the dataset = 0.889 eV/atom
ΔE_f (raw) = -0.468 eV/atom



# 12
Below is a relaxed InTe3Ir crystal, with properties calculated at the PBE-GGA level.

CIF file:
```
data_InTe3Ir
_cell_length_a 5.336
_cell_length_b 5.336
_cell_length_c 5.336
_cell_angle_alpha 90.00
_cell_angle_beta 90.00
_cell_angle_gamma 90.00
_space_group_name_H-M_alt 'P 1'
_space_group_IT_number 1
loop_
_space_group_symop_operation_xyz
'x,y,z'
loop_
_atom_site_label
_atom_site_type_symbol
_atom_site_fract_x
_atom_site_fract_y
_atom_site_fract_z
Ir1 Ir 0.000 0.000 0.000
Te1 Te 0.000 0.500 0.000
Te2 Te 0.000 0.000 0.500
Te3 Te 0.500 0.000 0.000
In1 In 0.500 0.500 0.500
```

Calculated values
calculated volume = 152.0 Å³/f.u.
excess energy over the best structure of this formula in the dataset = 0.000 eV/atom
ΔE_f (raw) = 0.341 eV/atom